Compound: Li2PmTm2Si2
Source: the Alexandria database
Functional: PBE
Structure: relaxed

Cell and atoms, written as POSCAR:
```
Li2PmTm2Si2
1.0
4.468 0.000 0.000
2.234 3.870 0.000
2.234 1.290 8.695
Li Pm Tm Si
2 1 2 2
Cartesian
4.468 2.580 1.926 Li
4.468 2.580 6.769 Li
0.000 0.000 0.000 Pm
2.234 1.290 5.332 Tm
6.702 3.870 3.363 Tm
6.702 3.870 6.725 Si
2.234 1.290 1.971 Si
```

Results
Energy (eV per atom): -4.448
Symmetry: R-3m
Formation energy without anion corrections (meV/atom): -395.9
Mass density (g/cm3): 6.1

=====

Compound: Rb2PO
Source: the Alexandria database
Functional: PBE
Structure: relaxed

Cell and atoms, written as POSCAR:
```
Rb2PO
1.0
3.031 -4.402 1.289
-0.794 -2.577 4.791
-2.302 -4.992 0.088
P O Rb
1 1 2
Cartesian
-0.032 -5.986 3.084 P
0.000 0.000 0.000 O
-0.016 -2.993 1.542 Rb
-0.049 -8.979 4.625 Rb
```

Results
Energy (eV per atom): -2.982
Energy relative to the lowest polymorph listed for this composition (meV per atom): 639
Symmetry: Fm-3m
Formation energy without anion corrections (meV/atom): 94.2
Mass density (g/cm3): 3.1

=====

Compound: FeRu2Au
Source: the Alexandria database
Functional: PBE
Structure: relaxed

Cell and atoms, written as POSCAR:
```
FeRu2Au
1.0
-0.749 -2.348 1.251
1.816 -1.401 -1.542
5.285 1.099 5.224
Au Fe Ru
1 1 2
Cartesian
1.855 -1.600 1.161 Au
4.497 -1.050 3.773 Fe
5.107 1.062 5.048 Ru
2.821 0.586 2.788 Ru
```

Results
Energy (eV per atom): -7.272
Energy relative to the lowest polymorph listed for this composition (meV per atom): 100
Symmetry: P4/mmm
Mass density (g/cm3): 13.2